Material: PuFeB
Method: DFT, PBE
State: relaxed

Unit cell a=3.9829 b=3.9829 c=3.9829 alpha=60.00 beta=60.00 gamma=60.00
Last column: nearest neighbours and their distance in Å.
Sites, in units of the cell vectors:
Pu 0.0000 0.0000 0.0000  4 Fe 2.44, 4 B 2.44
Fe 0.2500 0.2500 0.2500  4 Pu 2.44
B 0.7500 0.7500 0.7500  4 Pu 2.44

For the total magnetic moment, the calculation gives 0.0 μB/cell. As for the offset from the most stable computed form: 20.75 kcal/mol of atoms.